Material: NdTmV2O8
Method: DFT, PBE+U
State: relaxed

abc: 6.063 6.063 6.063
angles: 106.15 106.15 116.34
Fractional positions:
Nd: 0.250 0.750 0.500
Tm: 0.000 0.000 0.000
V: 0.750 0.250 0.500
V: 0.500 0.500 0.000
O: 0.393 0.080 0.312
O: 0.320 0.499 0.179
O: 0.320 0.141 0.821
O: 0.768 0.080 0.688
O: 0.859 0.680 0.179
O: 0.920 0.232 0.312
O: 0.920 0.607 0.688
O: 0.501 0.680 0.821

Calculated values
- DOS(E_F): 0.00 states/eV per cell
- Energy: -8.03 eV per atom
- Space group: I-4m2 (119)

Material: Nd2TmVO6
Method: DFT, PBE+U
State: relaxed

abc: 5.624 5.866 8.176
angles: 90.00 90.70 90.00
Fractional positions:
Nd: 0.018 0.942 0.250
Nd: 0.518 0.558 0.750
Nd: 0.982 0.058 0.750
Nd: 0.482 0.442 0.250
Tm: 0.500 0.000 0.000
Tm: 0.000 0.500 0.500
V: 0.500 0.000 0.500
V: 0.000 0.500 0.000
O: 0.293 0.692 0.060
O: 0.793 0.808 0.560
O: 0.707 0.308 0.940
O: 0.207 0.192 0.440
O: 0.313 0.708 0.438
O: 0.813 0.792 0.938
O: 0.687 0.292 0.562
O: 0.187 0.208 0.062
O: 0.883 0.545 0.242
O: 0.383 0.955 0.742
O: 0.117 0.455 0.758
O: 0.617 0.045 0.258

Calculated values
- DOS(E_F): 0.00 states/eV per cell
- Energy: -8.24 eV per atom
- Space group: P2_1/c (14)

Question: The highest energy belongs to which entry?
Answer: NdTmV2O8

Question: Number 2 is which compound?
Answer: Nd2TmVO6

Question: Which formula does entry 1 have?
Answer: NdTmV2O8